The following is a PBE calculation of a relaxed structure of Li2SeBr, from Alexandria. Values from VASP.

Results
Formation energy without anion corrections ... -0.955 eV/atom
Energy above the lowest structure with this stoichiometry ... 99 meV per atom
Space-group type ... Cmmm (65)

Cell and atoms, written as Quantum ESPRESSO input:
```
&SYSTEM
  ibrav = 0, nat = 4, ntyp = 3
/
ATOMIC_SPECIES
Li 6.94 Li.upf
Se 78.96 Se.upf
Br 79.90 Br.upf
ATOMIC_POSITIONS crystal
Li 0.0000 0.0000 0.2401
Li 0.0000 0.0000 0.7599
Se 0.5000 0.5000 0.5000
Br 0.5000 0.5000 0.0000
CELL_PARAMETERS angstrom
1.9375 -2.8127 0.0000
1.9375 2.8127 0.0000
0.0000 0.0000 7.4368
```

The following is a PBE calculation of a relaxed structure of LiSeBr2, from Alexandria. Values from VASP.

Results
Formation energy without anion corrections ... -0.510 eV/atom
Energy above the lowest structure with this stoichiometry ... 64 meV per atom
Space-group type ... Cm (8)

Cell and atoms, written as Quantum ESPRESSO input:
```
&SYSTEM
  ibrav = 0, nat = 4, ntyp = 3
/
ATOMIC_SPECIES
Li 6.94 Li.upf
Se 78.96 Se.upf
Br 79.90 Br.upf
ATOMIC_POSITIONS crystal
Li 0.0000 0.0000 0.0000
Se 0.7477 0.7477 0.2331
Br 0.2477 0.2477 0.7332
Br 0.4998 0.4998 0.4995
CELL_PARAMETERS angstrom
8.9126 -1.9183 0.0000
8.9126 1.9183 0.0000
-0.8156 0.0000 3.7469
```

The following is a PBE calculation of a relaxed structure of LiSe2Br, from Alexandria. Values from VASP.

Results
Formation energy without anion corrections ... 0.285 eV/atom
Energy above the lowest structure with this stoichiometry ... 923 meV per atom
Space-group type ... Fm-3m (225)

Cell and atoms, written as Quantum ESPRESSO input:
```
&SYSTEM
  ibrav = 0, nat = 4, ntyp = 3
/
ATOMIC_SPECIES
Li 6.94 Li.upf
Se 78.96 Se.upf
Br 79.90 Br.upf
ATOMIC_POSITIONS crystal
Li 0.0000 0.0000 0.0000
Se 0.2500 0.2500 0.2500
Se 0.7500 0.7500 0.7500
Br 0.5000 0.5000 0.5000
CELL_PARAMETERS angstrom
0.0000 3.5428 3.5428
3.5428 0.0000 3.5428
3.5428 3.5428 0.0000
```

The following is a PBE calculation of a relaxed structure of Li3SeBr, from Alexandria. Values from VASP.

Results
Formation energy without anion corrections ... -1.218 eV/atom
Energy above the lowest structure with this stoichiometry ... 29 meV per atom
Space-group type ... Pm-3m (221)

Cell and atoms, written as Quantum ESPRESSO input:
```
&SYSTEM
  ibrav = 0, nat = 5, ntyp = 3
/
ATOMIC_SPECIES
Li 6.94 Li.upf
Se 78.96 Se.upf
Br 79.90 Br.upf
ATOMIC_POSITIONS crystal
Li 0.0000 0.0000 0.5000
Li 0.0000 0.5000 0.0000
Li 0.5000 0.0000 0.0000
Se 0.0000 0.0000 0.0000
Br 0.5000 0.5000 0.5000
CELL_PARAMETERS angstrom
4.8378 0.0000 0.0000
0.0000 4.8378 0.0000
0.0000 0.0000 4.8378
```